# TmSc3N3, optimized geometry, DFT GGA-PBE
# Density of states at the Fermi level   20.3 states/eV/cell
# Energy   -8.55 eV per atom
# E_form (uncorrected)   -1625.4 meV/atom
data_TmSc3N3
_symmetry_space_group_name_H-M 'I -4 3 m'
_symmetry_Int_Tables_number 217
_symmetry_space_group_name_Hall 'I -4 2 3'
_cell_length_a 9.251
_cell_length_b 9.251
_cell_length_c 9.251
_cell_angle_alpha 90.00
_cell_angle_beta 90.00
_cell_angle_gamma 90.00
loop_
_atom_site_label
_atom_site_type_symbol
_atom_site_fract_x
_atom_site_fract_y
_atom_site_fract_z
Tm1 Tm 0.134 0.134 0.134
Sc1 Sc 0.113 0.376 0.376
N1 N 0.122 0.374 0.626